Version i
An optimized crystal structure of Li2Zn3Ga2, computed with PBE.

a b c (Å): 4.707 4.786 5.191
angles (deg): 98.45 101.20 102.22
Atoms (fractional coordinates):
1 Li 0.068 0.149 0.289
2 Li 0.932 0.851 0.711
3 Zn 0.215 0.432 0.856
4 Zn 0.500 0.000 0.000
5 Zn 0.785 0.568 0.144
6 Ga 0.358 0.715 0.418
7 Ga 0.642 0.285 0.582

crystal system	triclinic
symmetry	No. 2

Version ii
An optimized crystal structure of Li2Zn3Ga2, computed with PBE.

a b c (Å): 8.749 4.040 6.223
angles (deg): 90.00 100.59 90.00
Atoms (fractional coordinates):
1 Li 0.069 0.000 0.223
2 Li 0.431 0.500 0.777
3 Li 0.569 0.500 0.223
4 Li 0.931 0.000 0.777
5 Zn 0.000 0.500 0.500
6 Zn 0.213 0.000 0.637
7 Zn 0.287 0.500 0.363
8 Zn 0.500 0.000 0.500
9 Zn 0.713 0.500 0.637
10 Zn 0.787 0.000 0.363
11 Ga 0.143 0.500 0.935
12 Ga 0.357 0.000 0.065
13 Ga 0.643 0.000 0.935
14 Ga 0.857 0.500 0.065

crystal system	monoclinic
symmetry	No. 12

Stability, highest: version ii

Version i
An optimized crystal structure of LiZn4Ga, computed with PBE.

a b c (Å): 5.480 4.454 7.532
angles (deg): 90.00 99.32 90.00
Atoms (fractional coordinates):
1 Li 0.218 0.250 0.396
2 Li 0.782 0.750 0.604
3 Zn 0.057 0.250 0.726
4 Zn 0.114 0.750 0.953
5 Zn 0.387 0.250 0.059
6 Zn 0.438 0.750 0.278
7 Zn 0.562 0.250 0.722
8 Zn 0.613 0.750 0.941
9 Zn 0.886 0.250 0.047
10 Zn 0.943 0.750 0.274
11 Ga 0.284 0.750 0.620
12 Ga 0.716 0.250 0.380

crystal system	monoclinic
symmetry	No. 11

Version ii
An optimized crystal structure of LiZn4Ga, computed with PBE.

a b c (Å): 4.513 7.637 5.570
angles (deg): 90.00 97.57 90.00
Atoms (fractional coordinates):
1 Li 0.000 0.000 0.000
2 Li 0.500 0.500 0.000
3 Zn 0.028 0.331 0.243
4 Zn 0.028 0.669 0.243
5 Zn 0.472 0.169 0.757
6 Zn 0.472 0.831 0.757
7 Zn 0.528 0.169 0.243
8 Zn 0.528 0.831 0.243
9 Zn 0.972 0.331 0.757
10 Zn 0.972 0.669 0.757
11 Ga 0.000 0.000 0.500
12 Ga 0.500 0.500 0.500

crystal system	monoclinic
symmetry	No. 12

Stability, highest: version i

Version i
An optimized crystal structure of LiZn2Ga3, computed with PBE.

a b c (Å): 7.728 7.728 7.728
angles (deg): 147.47 120.57 69.41
Atoms (fractional coordinates):
1 Li 0.118 0.118 0.000
2 Li 0.882 0.882 0.000
3 Zn 0.159 0.500 0.659
4 Zn 0.296 0.796 0.500
5 Zn 0.704 0.204 0.500
6 Zn 0.841 0.500 0.341
7 Ga 0.120 0.319 0.801
8 Ga 0.334 0.000 0.334
9 Ga 0.481 0.681 0.801
10 Ga 0.519 0.319 0.199
11 Ga 0.666 0.000 0.666
12 Ga 0.880 0.681 0.199

crystal system	orthorhombic
symmetry	No. 71

Version ii
An optimized crystal structure of LiZn2Ga3, computed with PBE.

a b c (Å): 4.052 3.964 6.422
angles (deg): 90.00 107.74 90.00
Atoms (fractional coordinates):
1 Li 0.000 0.000 0.000
2 Zn 0.338 0.000 0.665
3 Zn 0.662 0.000 0.335
4 Ga 0.159 0.500 0.328
5 Ga 0.500 0.500 0.000
6 Ga 0.841 0.500 0.672

crystal system	monoclinic
symmetry	No. 10

Stability, highest: version ii

Version i
An optimized crystal structure of Li5Zn2Ga2, computed with PBE.

a b c (Å): 7.706 6.892 5.103
angles (deg): 78.39 61.17 40.44
Atoms (fractional coordinates):
1 Li 0.000 0.000 0.000
2 Li 0.156 0.156 0.344
3 Li 0.344 0.344 0.156
4 Li 0.656 0.656 0.844
5 Li 0.844 0.844 0.656
6 Zn 0.356 0.644 0.356
7 Zn 0.644 0.356 0.644
8 Ga 0.287 0.287 0.713
9 Ga 0.713 0.713 0.287

crystal system	orthorhombic
symmetry	No. 69

Version ii
An optimized crystal structure of Li5Zn2Ga2, computed with PBE.

a b c (Å): 8.771 8.771 8.771
angles (deg): 62.29 131.23 143.70
Atoms (fractional coordinates):
1 Li 0.125 0.084 0.209
2 Li 0.125 0.416 0.541
3 Li 0.502 0.160 0.162
4 Li 0.502 0.840 0.842
5 Li 0.505 0.501 0.503
6 Li 0.875 0.584 0.459
7 Li 0.875 0.916 0.791
8 Li 0.998 0.001 0.497
9 Li 0.998 0.340 0.838
10 Li 0.998 0.660 0.158
11 Zn 0.493 0.664 0.165
12 Zn 0.493 0.828 0.330
13 Zn 0.499 0.164 0.670
14 Zn 0.499 0.328 0.835
15 Ga 0.130 0.751 0.879
16 Ga 0.498 0.498 0.000
17 Ga 0.498 0.998 0.500
18 Ga 0.872 0.251 0.121

crystal system	orthorhombic
symmetry	No. 46

Stability, highest: version ii

Version i
An optimized crystal structure of LiZnGa6, computed with PBE.

a b c (Å): 4.521 6.014 10.478
angles (deg): 90.00 90.00 90.00
Atoms (fractional coordinates):
1 Li 0.000 0.000 0.000
2 Li 0.000 0.500 0.500
3 Zn 0.500 0.000 0.160
4 Zn 0.500 0.500 0.660
5 Ga 0.000 0.000 0.508
6 Ga 0.000 0.235 0.254
7 Ga 0.000 0.265 0.754
8 Ga 0.000 0.500 0.008
9 Ga 0.000 0.735 0.754
10 Ga 0.000 0.765 0.254
11 Ga 0.500 0.000 0.685
12 Ga 0.500 0.250 0.427
13 Ga 0.500 0.250 0.927
14 Ga 0.500 0.500 0.185
15 Ga 0.500 0.750 0.427
16 Ga 0.500 0.750 0.927

crystal system	orthorhombic
symmetry	No. 38

Version ii
An optimized crystal structure of LiZnGa6, computed with PBE.

a b c (Å): 5.740 5.740 5.740
angles (deg): 108.89 108.89 108.89
Atoms (fractional coordinates):
1 Li 0.000 0.000 0.000
2 Zn 0.500 0.500 0.500
3 Ga 0.242 0.242 0.730
4 Ga 0.242 0.730 0.242
5 Ga 0.270 0.758 0.758
6 Ga 0.730 0.242 0.242
7 Ga 0.758 0.270 0.758
8 Ga 0.758 0.758 0.270

crystal system	trigonal
symmetry	No. 166

Stability, highest: version i

Version i
An optimized crystal structure of Li3Zn4Ga, computed with PBE.

a b c (Å): 5.283 8.850 5.329
angles (deg): 90.00 90.00 90.00
Atoms (fractional coordinates):
1 Li 0.000 0.000 0.000
2 Li 0.000 0.249 0.260
3 Li 0.000 0.751 0.260
4 Li 0.500 0.251 0.760
5 Li 0.500 0.500 0.500
6 Li 0.500 0.749 0.760
7 Zn 0.000 0.256 0.755
8 Zn 0.000 0.744 0.755
9 Zn 0.246 0.000 0.522
10 Zn 0.254 0.500 0.022
11 Zn 0.500 0.244 0.255
12 Zn 0.500 0.756 0.255
13 Zn 0.746 0.500 0.022
14 Zn 0.754 0.000 0.522
15 Ga 0.000 0.500 0.504
16 Ga 0.500 0.000 0.004

crystal system	orthorhombic
symmetry	No. 44

Version ii
An optimized crystal structure of Li3Zn4Ga, computed with PBE.

a b c (Å): 2.946 4.473 9.281
angles (deg): 100.12 99.10 90.09
Atoms (fractional coordinates):
1 Li 0.000 0.000 0.000
2 Li 0.132 0.680 0.261
3 Li 0.868 0.320 0.739
4 Zn 0.235 0.242 0.474
5 Zn 0.383 0.822 0.767
6 Zn 0.617 0.178 0.233
7 Zn 0.765 0.758 0.526
8 Ga 0.500 0.500 0.000

crystal system	triclinic
symmetry	No. 2

Stability, highest: version ii

Version i
An optimized crystal structure of Li8Zn2Ga, computed with PBE.

a b c (Å): 7.196 7.196 4.602
angles (deg): 101.26 101.26 117.49
Atoms (fractional coordinates):
1 Li 0.081 0.310 0.613
2 Li 0.218 0.782 0.000
3 Li 0.310 0.081 0.613
4 Li 0.382 0.382 0.180
5 Li 0.618 0.618 0.820
6 Li 0.690 0.919 0.387
7 Li 0.782 0.218 0.000
8 Li 0.919 0.690 0.387
9 Zn 0.316 0.684 0.500
10 Zn 0.684 0.316 0.500
11 Ga 0.000 0.000 0.000

crystal system	monoclinic
symmetry	No. 12

Version ii
An optimized crystal structure of Li8Zn2Ga, computed with PBE.

a b c (Å): 7.811 7.811 5.260
angles (deg): 90.66 90.66 33.59
Atoms (fractional coordinates):
1 Li 0.049 0.049 0.255
2 Li 0.138 0.138 0.822
3 Li 0.318 0.318 0.901
4 Li 0.410 0.410 0.455
5 Li 0.590 0.590 0.545
6 Li 0.682 0.682 0.099
7 Li 0.862 0.862 0.178
8 Li 0.951 0.951 0.745
9 Zn 0.230 0.230 0.377
10 Zn 0.770 0.770 0.623
11 Ga 0.500 0.500 0.000

crystal system	monoclinic
symmetry	No. 12

Stability, highest: version ii

Version i
An optimized crystal structure of LiZn2Ga4, computed with PBE.

a b c (Å): 9.002 6.771 4.786
angles (deg): 90.00 120.47 90.00
Atoms (fractional coordinates):
1 Li 0.000 0.000 0.000
2 Li 0.500 0.500 0.000
3 Zn 0.037 0.500 0.283
4 Zn 0.463 0.000 0.717
5 Zn 0.537 0.000 0.283
6 Zn 0.963 0.500 0.717
7 Ga 0.188 0.195 0.699
8 Ga 0.188 0.805 0.699
9 Ga 0.312 0.305 0.301
10 Ga 0.312 0.695 0.301
11 Ga 0.688 0.305 0.699
12 Ga 0.688 0.695 0.699
13 Ga 0.812 0.195 0.301
14 Ga 0.812 0.805 0.301

crystal system	monoclinic
symmetry	No. 12

Version ii
An optimized crystal structure of LiZn2Ga4, computed with PBE.

a b c (Å): 7.516 7.516 7.516
angles (deg): 34.53 34.53 34.53
Atoms (fractional coordinates):
1 Li 0.000 0.000 0.000
2 Zn 0.256 0.256 0.256
3 Zn 0.744 0.744 0.744
4 Ga 0.131 0.131 0.131
5 Ga 0.388 0.388 0.388
6 Ga 0.612 0.612 0.612
7 Ga 0.869 0.869 0.869

crystal system	trigonal
symmetry	No. 166

Stability, highest: version ii

Version i
An optimized crystal structure of Li2Zn4Ga3, computed with PBE.

a b c (Å): 4.743 4.743 8.445
angles (deg): 104.34 104.34 50.94
Atoms (fractional coordinates):
1 Li 0.163 0.163 0.220
2 Li 0.837 0.837 0.780
3 Zn 0.168 0.168 0.892
4 Zn 0.499 0.499 0.330
5 Zn 0.501 0.501 0.670
6 Zn 0.832 0.832 0.108
7 Ga 0.169 0.169 0.568
8 Ga 0.500 0.500 0.000
9 Ga 0.831 0.831 0.432

crystal system	monoclinic
symmetry	No. 12

Version ii
An optimized crystal structure of Li2Zn4Ga3, computed with PBE.

a b c (Å): 8.353 8.353 7.282
angles (deg): 90.00 90.00 142.48
Atoms (fractional coordinates):
1 Li 0.082 0.918 0.877
2 Li 0.418 0.582 0.377
3 Li 0.582 0.418 0.623
4 Li 0.918 0.082 0.123
5 Zn 0.163 0.837 0.515
6 Zn 0.172 0.328 0.750
7 Zn 0.328 0.172 0.250
8 Zn 0.337 0.663 0.015
9 Zn 0.663 0.337 0.985
10 Zn 0.672 0.828 0.750
11 Zn 0.828 0.672 0.250
12 Zn 0.837 0.163 0.485
13 Ga 0.000 0.000 0.500
14 Ga 0.003 0.497 0.750
15 Ga 0.497 0.003 0.250
16 Ga 0.500 0.500 0.000
17 Ga 0.503 0.997 0.750
18 Ga 0.997 0.503 0.250

crystal system	orthorhombic
symmetry	No. 64

Stability, highest: version i

Version i
An optimized crystal structure of Li8Zn3Ga2, computed with PBE.

a b c (Å): 6.156 4.350 8.237
angles (deg): 90.00 103.84 90.00
Atoms (fractional coordinates):
1 Li 0.058 0.000 0.357
2 Li 0.122 0.500 0.879
3 Li 0.358 0.500 0.263
4 Li 0.377 0.000 0.807
5 Li 0.623 0.000 0.193
6 Li 0.642 0.500 0.737
7 Li 0.878 0.500 0.121
8 Li 0.942 0.000 0.643
9 Zn 0.221 0.500 0.560
10 Zn 0.500 0.000 0.500
11 Zn 0.779 0.500 0.440
12 Ga 0.193 0.000 0.083
13 Ga 0.807 0.000 0.917

crystal system	monoclinic
symmetry	No. 10

Version ii
An optimized crystal structure of Li8Zn3Ga2, computed with PBE.

a b c (Å): 6.901 6.901 5.234
angles (deg): 97.00 97.00 67.36
Atoms (fractional coordinates):
1 Li 0.066 0.690 0.046
2 Li 0.095 0.095 0.393
3 Li 0.302 0.302 0.698
4 Li 0.310 0.934 0.954
5 Li 0.690 0.066 0.046
6 Li 0.698 0.698 0.302
7 Li 0.905 0.905 0.607
8 Li 0.934 0.310 0.954
9 Zn 0.323 0.677 0.500
10 Zn 0.500 0.500 0.000
11 Zn 0.677 0.323 0.500
12 Ga 0.313 0.313 0.214
13 Ga 0.687 0.687 0.786

crystal system	monoclinic
symmetry	No. 12

Stability, highest: version i